1.
This record from Alexandria describes a geometry-optimized Ho6ErIn structure. The functional is PBE-GGA.

The structure in extended XYZ format:
```
8
Lattice="6.357 -0.669 -1.328 -2.986 5.652 -1.328 -1.899 -2.807 8.579" Properties=species:S:1:pos:R:3 pbc="T T T"
Ho -0.819 -1.211 5.966
Ho 3.134 0.286 0.882
Ho 2.291 3.386 -0.042
Ho 2.372 -0.840 5.041
Ho -1.662 1.889 5.041
Ho -0.900 3.015 0.882
Er 0.736 1.088 2.962
In 0.000 0.000 0.000
```

Output
Density of states at the Fermi level = 1.083 states/eV per atom
Energy relative to the elements = 0.04 eV per atom
Distance to the lowest polymorph of the same formula = 157.0 meV per atom

2.
This record from Alexandria describes a geometry-optimized CrRh2Pb structure. The functional is PBE-GGA.

The structure in extended XYZ format:
```
4
Lattice="3.559 0.000 0.000 0.000 3.057 0.025 0.000 3.004 6.083" Properties=species:S:1:pos:R:3 pbc="T T T"
Cr 1.779 1.515 1.527
Pb 1.779 4.546 4.581
Rh 0.000 3.054 0.183
Rh 0.000 3.034 2.896
```

Output
Density of states at the Fermi level = 0.957 states/eV per atom
Energy relative to the elements = 0.11 eV per atom

3.
This record from Alexandria describes a geometry-optimized Mn2AlTl structure. The functional is PBE-GGA.

The structure in extended XYZ format:
```
4
Lattice="-7.351 -5.013 -0.357 -5.298 -7.047 -1.252 -5.767 -6.569 1.698" Properties=species:S:1:pos:R:3 pbc="T T T"
Tl -4.604 -4.657 0.022
Mn -0.130 -0.132 0.001
Mn -9.078 -9.183 0.044
Al -13.812 -13.972 0.067
```

Output
Density of states at the Fermi level = 0.889 states/eV per atom
Energy relative to the elements = 0.36 eV per atom
Distance to the lowest polymorph of the same formula = 140.6 meV per atom

4.
This record from Alexandria describes a geometry-optimized LiSn2P4H3O16 structure. The functional is PBE-GGA.

The structure in extended XYZ format:
```
26
Lattice="-4.183 -2.586 0.738 -0.365 1.921 -7.368 4.011 -6.777 -2.035" Properties=species:S:1:pos:R:3 pbc="T T T"
Li -1.745 -0.257 -6.289
Sn -0.105 -4.733 -0.669
Sn -0.357 -8.382 -4.914
P 1.983 -4.279 -3.138
P -1.056 -1.548 -1.754
P 0.470 -5.914 -6.883
P -2.598 -3.216 -5.481
H -0.127 -0.141 -0.070
H 1.461 -2.816 -4.626
H -0.699 -3.841 -4.437
O 0.974 -1.745 -7.059
O -3.677 -2.445 -4.712
O -0.133 -0.919 -2.828
O 1.005 -3.590 -4.205
O 2.001 -6.122 -6.589
O 0.125 -4.406 -6.912
O -0.752 -0.968 -0.328
O 1.106 -5.190 -2.264
O -1.735 -2.274 -6.377
O 0.251 -6.616 -8.219
O -0.794 -3.060 -1.655
O -2.519 -1.263 -2.094
O -1.694 -3.924 -4.393
O -0.361 -6.500 -5.702
O 3.017 -5.109 -3.884
O -1.611 -5.722 -1.580
```

Output
Density of states at the Fermi level = 0.000 states/eV per atom
Distance to the lowest polymorph of the same formula = 0.0 meV per atom

5.
This record from Alexandria describes a geometry-optimized ZrSc2CdN structure. The functional is PBE-GGA.

The structure in extended XYZ format:
```
5
Lattice="4.467 0.000 0.000 0.000 4.467 0.000 0.000 0.000 4.527" Properties=species:S:1:pos:R:3 pbc="T T T"
Sc 0.000 2.233 0.000
Sc 2.233 0.000 0.000
N 0.000 0.000 0.000
Zr 0.000 0.000 2.263
Cd 2.233 2.233 2.263
```

Output
Density of states at the Fermi level = 0.380 states/eV per atom
Raw formation energy = -21.60 kcal/mol of atoms

6.
This record from Alexandria describes a geometry-optimized NpTlNi2Cl8 structure. The functional is PBE-GGA.

The structure in extended XYZ format:
```
12
Lattice="-2.515 3.101 4.909 2.462 -0.706 5.786 6.093 8.401 1.892" Properties=species:S:1:pos:R:3 pbc="T T T"
Np 0.000 0.000 0.000
Tl 3.020 5.398 6.294
Ni 1.556 2.757 3.134
Ni 4.483 8.040 9.453
Cl 2.896 4.423 2.768
Cl 0.121 3.039 4.890
Cl 3.144 6.374 9.820
Cl 0.073 3.874 8.515
Cl 5.966 6.922 4.072
Cl 2.631 1.525 7.181
Cl 3.408 9.272 5.406
Cl 5.919 7.758 7.697
```

Output
Density of states at the Fermi level = 1.170 states/eV per atom
Raw formation energy = -22.45 kcal/mol of atoms

One value per record, in order, for calculated volume: 30.04, 16.48, 17.31, 11.53, 18.06, 28.60 Å³/atom.